[1]
# CeTl4S4 PBE-GGA relaxed
data_CeTl4S4
_chemical_formula_sum 'Ce2 Tl8 S8'
_cell_length_a 14.302
_cell_length_b 4.191
_cell_length_c 10.583
_cell_angle_alpha 90.00
_cell_angle_beta 120.93
_cell_angle_gamma 90.00
_space_group_name_H-M_alt 'C 1 2/m 1'
_space_group_IT_number 12
_space_group_name_Hall '-C 2y'
loop_
_atom_site_label
_atom_site_type_symbol
_atom_site_fract_x
_atom_site_fract_y
_atom_site_fract_z
_atom_site_occupancy
Ce1 Ce 0.000 0.000 0.000 1
Tl1 Tl 0.086 0.500 0.393 1
Tl2 Tl 0.201 0.000 0.777 1
S1 S 0.096 0.500 0.936 1
S2 S 0.169 0.000 0.283 1
# Theoretical density   6.63 g/cm3
# Electronic total energy   -79.59 eV for the cell shown
# Uncorrected formation energy   -0.876 eV per atom
# Volume   30.2 A^3/atom


[2]
# Cs2BeH3 PBE-GGA relaxed
data_Cs2BeH3
_chemical_formula_sum 'Cs16 Be8 H24'
_cell_length_a 8.874
_cell_length_b 9.481
_cell_length_c 17.513
_cell_angle_alpha 90.00
_cell_angle_beta 90.00
_cell_angle_gamma 90.00
_space_group_name_H-M_alt 'F m m m'
_space_group_IT_number 69
_space_group_name_Hall '-F 2 2'
loop_
_atom_site_label
_atom_site_type_symbol
_atom_site_fract_x
_atom_site_fract_y
_atom_site_fract_z
_atom_site_occupancy
Cs1 Cs 0.233 0.000 0.000 1
Cs2 Cs 0.250 0.250 0.250 1
Be1 Be 0.000 0.000 0.156 1
H1 H 0.000 0.000 0.236 1
H2 H 0.000 0.129 0.114 1
# Theoretical density   2.50 g/cm3
# Electronic total energy   -128.75 eV for the cell shown
# Volume   30.7 A^3/atom


[3]
# BeCu6Si PBE-GGA relaxed
data_BeCu6Si
_chemical_formula_sum 'Be2 Cu12 Si2'
_cell_length_a 4.797
_cell_length_b 8.438
_cell_length_c 4.724
_cell_angle_alpha 90.00
_cell_angle_beta 90.43
_cell_angle_gamma 90.00
_space_group_name_H-M_alt 'C 1 2/m 1'
_space_group_IT_number 12
_space_group_name_Hall '-C 2y'
loop_
_atom_site_label
_atom_site_type_symbol
_atom_site_fract_x
_atom_site_fract_y
_atom_site_fract_z
_atom_site_occupancy
Be1 Be 0.000 0.000 0.000 1
Cu1 Cu 0.068 0.500 0.755 1
Cu2 Cu 0.200 0.213 0.755 1
Si1 Si 0.000 0.000 0.500 1
# Theoretical density   7.27 g/cm3
# Electronic total energy   -66.10 eV for the cell shown
# Energy relative to the lowest polymorph listed for this composition   0.493 eV/f.u.
# Uncorrected formation energy   0.084 eV per atom
# Volume   12.0 A^3/atom


[4]
# Tm2NpS4 PBE-GGA relaxed
data_Tm2NpS4
_chemical_formula_sum 'Tm8 Np4 S16'
_cell_length_a 7.963
_cell_length_b 8.011
_cell_length_c 11.378
_cell_angle_alpha 90.00
_cell_angle_beta 90.00
_cell_angle_gamma 90.00
_space_group_name_H-M_alt 'I m m a'
_space_group_IT_number 74
_space_group_name_Hall '-I 2b 2'
loop_
_atom_site_label
_atom_site_type_symbol
_atom_site_fract_x
_atom_site_fract_y
_atom_site_fract_z
_atom_site_occupancy
Tm1 Tm 0.000 0.250 0.124 1
Tm2 Tm 0.250 0.250 0.750 1
Np1 Np 0.000 0.000 0.500 1
S1 S 0.000 0.017 0.747 1
S2 S 0.243 0.250 0.511 1
# Theoretical density   6.44 g/cm3
# Electronic total energy   -200.28 eV for the cell shown
# Energy relative to the lowest polymorph listed for this composition   0.361 eV/f.u.
# Uncorrected formation energy   -1.668 eV per atom
# Volume   25.9 A^3/atom


[5]
# Ce3Sc5H12 PBE-GGA relaxed
data_Ce3Sc5H12
_chemical_formula_sum 'Ce24 Sc40 H96'
_cell_length_a 12.574
_cell_length_b 12.574
_cell_length_c 12.574
_cell_angle_alpha 90.00
_cell_angle_beta 90.00
_cell_angle_gamma 90.00
_space_group_name_H-M_alt 'I a -3 d'
_space_group_IT_number 230
_space_group_name_Hall '-I 4bd 2c 3'
loop_
_atom_site_label
_atom_site_type_symbol
_atom_site_fract_x
_atom_site_fract_y
_atom_site_fract_z
_atom_site_occupancy
Ce1 Ce 0.000 0.250 0.125 1
Sc1 Sc 0.000 0.000 0.000 1
Sc2 Sc 0.000 0.250 0.375 1
H1 H 0.015 0.065 0.649 1
# Theoretical density   4.39 g/cm3
# Electronic total energy   -790.47 eV for the cell shown
# Volume   12.4 A^3/atom


[6]
# Dy6ZnIr5 PBE-GGA relaxed
data_Dy6ZnIr5
_chemical_formula_sum 'Dy12 Zn2 Ir10'
_cell_length_a 4.803
_cell_length_b 14.443
_cell_length_c 7.090
_cell_angle_alpha 90.00
_cell_angle_beta 90.00
_cell_angle_gamma 90.00
_space_group_name_H-M_alt 'C m m m'
_space_group_IT_number 65
_space_group_name_Hall '-C 2 2'
loop_
_atom_site_label
_atom_site_type_symbol
_atom_site_fract_x
_atom_site_fract_y
_atom_site_fract_z
_atom_site_occupancy
Dy1 Dy 0.000 0.000 0.243 1
Dy2 Dy 0.000 0.330 0.248 1
Zn1 Zn 0.000 0.500 0.500 1
Ir1 Ir 0.000 0.162 0.500 1
Ir2 Ir 0.000 0.168 0.000 1
Ir3 Ir 0.000 0.500 0.000 1
# Theoretical density   13.52 g/cm3
# Electronic total energy   -164.52 eV for the cell shown
# ΔH_f (0 K)   -0.7557 eV/atom
# Volume   20.5 A^3/atom


[7]
# RbBaTi2W PBE-GGA relaxed
data_RbBaTi2W
_chemical_formula_sum 'Rb1 Ba1 Ti2 W1'
_cell_length_a 4.971
_cell_length_b 4.971
_cell_length_c 6.418
_cell_angle_alpha 90.00
_cell_angle_beta 90.00
_cell_angle_gamma 90.00
_space_group_name_H-M_alt 'P 4/m m m'
_space_group_IT_number 123
_space_group_name_Hall '-P 4 2'
loop_
_atom_site_label
_atom_site_type_symbol
_atom_site_fract_x
_atom_site_fract_y
_atom_site_fract_z
_atom_site_occupancy
Rb1 Rb 0.000 0.000 0.000 1
Ba1 Ba 0.500 0.500 0.000 1
Ti1 Ti 0.000 0.500 0.500 1
W1 W 0.500 0.500 0.500 1
# Theoretical density   5.26 g/cm3
# Electronic total energy   -26.39 eV for the cell shown
# ΔH_f (0 K)   1.0487 eV/atom
# Volume   31.7 A^3/atom


[8]
# Nb2CrCoRu PBE-GGA relaxed
data_Nb2CrCoRu
_chemical_formula_sum 'Nb2 Cr1 Co1 Ru1'
_cell_length_a 4.804
_cell_length_b 4.804
_cell_length_c 4.328
_cell_angle_alpha 90.00
_cell_angle_beta 90.00
_cell_angle_gamma 90.00
_space_group_name_H-M_alt 'P 4/m m m'
_space_group_IT_number 123
_space_group_name_Hall '-P 4 2'
loop_
_atom_site_label
_atom_site_type_symbol
_atom_site_fract_x
_atom_site_fract_y
_atom_site_fract_z
_atom_site_occupancy
Nb1 Nb 0.000 0.500 0.000 1
Cr1 Cr 0.000 0.000 0.500 1
Co1 Co 0.500 0.500 0.500 1
Ru1 Ru 0.000 0.000 0.000 1
# Theoretical density   6.61 g/cm3
# Electronic total energy   -39.01 eV for the cell shown
# ΔH_f (0 K)   1.4266 eV/atom
# Volume   20.0 A^3/atom